[1]
The following is a GGA-PBE calculation of crystalline CsNbCl6 at its relaxed geometry, from OQMD via LeMat-Bulk.

```
CsNbCl6
1.0
4.795 2.768 2.996
-4.795 2.768 2.996
0.000 -5.537 2.996
Cl Cs Nb
6 1 1
direct
0.567 0.302 0.170
0.170 0.567 0.302
0.698 0.830 0.433
0.302 0.170 0.567
0.830 0.433 0.698
0.433 0.698 0.830
0.000 0.000 0.000
0.500 0.500 0.500
```

Properties
- calculated volume (A^3/atom) = 29.833
- crystal system = trigonal
- energy (eV/atom) = -4.222
- relative energy among the computed polymorphs (eV per atom) = 0.010
- magnetic moment (μB per cell) = 0.00
- theoretical density (g cm⁻³) = 3.1

=====

[2]
The following is a GGA-PBE calculation of crystalline Sc3Si2W2 at its relaxed geometry, from OQMD via LeMat-Bulk.

```
Sc3Si2W2
1.0
8.303 2.048 6.118
-10.141 -0.606 -2.711
-0.127 -2.715 1.080
Sc Si W
3 2 2
direct
0.000 0.000 0.500
0.853 0.147 0.500
0.147 0.853 0.500
0.578 0.422 0.000
0.422 0.578 0.000
0.717 0.283 0.000
0.283 0.717 0.000
```

Properties
- calculated volume (A^3/atom) = 17.794
- crystal system = orthorhombic
- energy (eV/atom) = -8.096
- magnetic moment (μB per cell) = 0.27
- theoretical density (g cm⁻³) = 7.4

=====

Question: Number 1 is which compound?
Answer: CsNbCl6

=====

Question: Which value of magnetic moment does entry 1 give?
Answer: 0.00 μB per cell

=====

Question: Which value of calculated volume does entry 2 give?
Answer: 17.794 A^3/atom

=====

Question: Among the records above, which one has the highest energy?
Answer: CsNbCl6